A PBEsol-optimized structure of ZrWSe4. Source: Alexandria via LeMat-Bulk, functional SCAN.

Computed properties:
V ... 18.60 Å³ per atom
Symmetry ... F-43m (216)
Formation energy from raw total energies ... 1.110 eV/atom

The structure in POSCAR format:
```
ZrWSe4
1.0
-0.873 3.310 4.182
-4.167 -0.888 3.325
0.888 -1.727 5.043
Zr Se W
1 4 1
direct
0.000 0.000 0.000
0.874 0.375 0.375
0.375 0.375 0.375
0.375 0.874 0.375
0.375 0.375 0.874
0.750 0.750 0.750
```

***

A PBEsol-optimized structure of ZrWSe2. Source: Alexandria via LeMat-Bulk, functional SCAN.

Computed properties:
V ... 22.75 Å³ per atom
Symmetry ... Immm (71)
Formation energy from raw total energies ... -0.428 eV/atom

The structure in POSCAR format:
```
ZrWSe2
1.0
3.479 0.000 0.000
0.000 4.342 0.000
-1.739 -2.171 6.025
W Zr Se
1 1 2
direct
0.500 0.000 0.000
0.000 0.500 0.000
0.845 0.845 0.691
0.155 0.155 0.309
```

***

A PBEsol-optimized structure of ZrW2Se. Source: Alexandria via LeMat-Bulk, functional SCAN.

Computed properties:
V ... 17.16 Å³ per atom
Symmetry ... R-3m (166)
Formation energy from raw total energies ... 0.572 eV/atom

The structure in POSCAR format:
```
ZrW2Se
1.0
-0.919 -1.421 -2.418
1.773 -1.949 -1.330
-3.121 -7.769 3.949
Zr W Se
1 2 1
direct
0.500 0.500 0.500
0.740 0.740 0.781
0.260 0.260 0.219
0.000 0.000 0.000
```

***

A PBEsol-optimized structure of ZrW2Se. Source: Alexandria via LeMat-Bulk, functional SCAN.

Computed properties:
V ... 17.21 Å³ per atom
Symmetry ... Cmmm (65)
Formation energy from raw total energies ... 0.560 eV/atom

The structure in POSCAR format:
```
ZrW2Se
1.0
-2.608 -0.116 -1.376
-0.379 -0.203 2.919
-0.636 8.387 0.501
W Se Zr
2 1 1
direct
0.000 0.000 0.768
0.000 0.000 0.232
0.500 0.500 0.000
0.500 0.500 0.500
```

***

A PBEsol-optimized structure of ZrW2Se. Source: Alexandria via LeMat-Bulk, functional SCAN.

Computed properties:
V ... 17.32 Å³ per atom
Symmetry ... Cmm2 (35)
Formation energy from raw total energies ... 0.192 eV/atom

The structure in POSCAR format:
```
ZrW2Se
1.0
2.965 0.007 0.000
-1.120 2.745 0.000
0.000 0.000 8.505
Se W Zr
1 2 1
direct
0.500 0.500 0.245
0.500 0.500 0.763
0.000 0.000 0.997
0.000 0.000 0.495
```

***

A PBEsol-optimized structure of ZrW2Se. Source: Alexandria via LeMat-Bulk, functional SCAN.

Computed properties:
V ... 17.33 Å³ per atom
Symmetry ... P4mm (99)
Formation energy from raw total energies ... 0.053 eV/atom

The structure in POSCAR format:
```
ZrW2Se
1.0
3.221 0.000 0.000
0.000 3.221 0.000
0.000 0.000 6.683
Se W Zr
1 2 1
direct
0.500 0.500 0.761
0.000 0.000 0.018
0.500 0.500 0.221
0.000 0.000 0.500
```

***

A PBEsol-optimized structure of Y3Se4. Source: Alexandria via LeMat-Bulk, functional SCAN.

Computed properties:
V ... 25.83 Å³ per atom
Symmetry ... C2/m (12)
Formation energy from raw total energies ... -2.112 eV/atom

The structure in POSCAR format:
```
Y3Se4
1.0
-6.127 -0.600 5.099
-5.288 -5.931 -0.868
3.498 -9.681 9.141
Se Y
16 12
direct
0.875 0.875 0.374
0.628 0.628 0.625
0.874 0.874 0.872
0.628 0.123 0.626
0.877 0.372 0.374
0.379 0.379 0.879
0.125 0.125 0.626
0.372 0.372 0.375
0.126 0.126 0.128
0.627 0.120 0.126
0.123 0.628 0.626
0.372 0.877 0.374
0.621 0.621 0.121
0.120 0.627 0.126
0.880 0.373 0.874
0.373 0.880 0.874
0.000 0.000 0.500
0.000 0.000 0.000
0.740 0.255 0.254
0.256 0.256 0.746
0.000 0.500 0.000
0.500 0.000 0.000
0.255 0.740 0.254
0.744 0.744 0.254
0.260 0.745 0.746
0.000 0.500 0.500
0.745 0.260 0.746
0.500 0.000 0.500
```

***

A PBEsol-optimized structure of Y2Se. Source: Alexandria via LeMat-Bulk, functional SCAN.

Computed properties:
V ... 27.81 Å³ per atom
Symmetry ... I4_1/amd (141)
Formation energy from raw total energies ... -1.205 eV/atom

The structure in POSCAR format:
```
Y2Se
1.0
-2.413 -2.876 4.086
4.980 -1.022 2.222
-1.674 6.475 -0.198
Y Se
4 2
direct
0.494 0.994 0.988
0.006 0.506 0.012
0.756 0.756 0.512
0.244 0.244 0.488
0.500 0.500 0.000
0.750 0.250 0.500
```

***

A PBEsol-optimized structure of Y4Se. Source: Alexandria via LeMat-Bulk, functional SCAN.

Computed properties:
V ... 29.45 Å³ per atom
Symmetry ... Im-3m (229)
Formation energy from raw total energies ... -0.312 eV/atom

The structure in POSCAR format:
```
Y4Se
1.0
5.762 0.000 0.000
-1.921 5.432 0.000
-1.921 -2.716 4.704
Y Se
4 1
direct
0.500 0.500 0.500
0.000 0.000 0.500
0.000 0.500 0.000
0.500 0.000 0.000
0.000 0.000 0.000
```

***

A PBEsol-optimized structure of Y2Se. Source: Alexandria via LeMat-Bulk, functional SCAN.

Computed properties:
V ... 25.62 Å³ per atom
Symmetry ... Fmmm (69)
Formation energy from raw total energies ... -1.114 eV/atom

The structure in POSCAR format:
```
Y2Se
1.0
3.548 -0.008 0.000
-0.769 3.464 0.000
-1.389 -1.728 6.258
Y Se
2 1
direct
0.645 0.645 0.290
0.355 0.355 0.710
0.000 0.000 0.000
```

***

A PBEsol-optimized structure of Y2Se. Source: Alexandria via LeMat-Bulk, functional SCAN.

Computed properties:
V ... 26.70 Å³ per atom
Symmetry ... Cmcm (63)
Formation energy from raw total energies ... -1.320 eV/atom

The structure in POSCAR format:
```
Y2Se
1.0
-1.643 3.314 1.007
-3.322 -2.777 3.721
5.881 -0.731 4.705
Y Se
4 2
direct
0.162 0.750 0.324
0.555 0.250 0.110
0.838 0.250 0.676
0.445 0.750 0.890
0.195 0.250 0.390
0.805 0.750 0.610
```

***

A PBEsol-optimized structure of Y3Se2. Source: Alexandria via LeMat-Bulk, functional SCAN.

Computed properties:
V ... 25.38 Å³ per atom
Symmetry ... P-3m1 (164)
Formation energy from raw total energies ... -1.567 eV/atom

The structure in POSCAR format:
```
Y3Se2
1.0
3.859 0.000 0.000
-1.930 3.342 0.000
0.000 0.000 9.837
Se Y
2 3
direct
0.333 0.667 0.824
0.667 0.333 0.176
0.667 0.333 0.643
0.000 0.000 0.000
0.333 0.667 0.357
```

***

A PBEsol-optimized structure of Y2Se3. Source: Alexandria via LeMat-Bulk, functional SCAN.

Computed properties:
V ... 23.42 Å³ per atom
Symmetry ... I-42d (122)
Formation energy from raw total energies ... -2.103 eV/atom

The structure in POSCAR format:
```
Y2Se3
1.0
-5.668 -4.850 4.168
6.147 -5.667 1.767
2.405 11.519 7.915
Se Y
24 16
direct
0.110 0.863 0.867
0.090 0.346 0.533
0.654 0.557 0.467
0.468 0.576 0.792
0.807 0.404 0.967
0.813 0.910 0.467
0.113 0.860 0.367
0.424 0.676 0.208
0.466 0.074 0.292
0.160 0.563 0.967
0.137 0.243 0.133
0.782 0.534 0.708
0.493 0.887 0.633
0.324 0.216 0.792
0.254 0.507 0.367
0.757 0.004 0.867
0.784 0.532 0.208
0.826 0.218 0.292
0.596 0.840 0.033
0.443 0.187 0.533
0.996 0.890 0.133
0.437 0.193 0.033
0.926 0.174 0.708
0.140 0.746 0.633
0.167 0.167 0.334
0.782 0.173 0.079
0.093 0.218 0.921
0.083 0.583 0.166
0.625 0.257 0.750
0.827 0.702 0.921
0.417 0.917 0.834
0.298 0.907 0.079
0.468 0.843 0.421
0.952 0.577 0.421
0.157 0.048 0.579
0.743 0.875 0.250
0.423 0.532 0.579
0.833 0.833 0.666
0.125 0.493 0.750
0.507 0.375 0.250
```

***

A PBEsol-optimized structure of Y2Se. Source: Alexandria via LeMat-Bulk, functional SCAN.

Computed properties:
V ... 26.97 Å³ per atom
Symmetry ... P-3m1 (164)
Formation energy from raw total energies ... -1.323 eV/atom

The structure in POSCAR format:
```
Y2Se
1.0
-3.508 1.500 -0.258
0.706 -3.471 -1.439
-1.543 -2.641 5.612
Y Se
2 1
direct
0.667 0.333 0.725
0.333 0.667 0.275
0.000 0.000 0.000
```

***

A PBEsol-optimized structure of Y2Se3. Source: Alexandria via LeMat-Bulk, functional SCAN.

Computed properties:
V ... 27.83 Å³ per atom
Symmetry ... Fddd (70)
Formation energy from raw total energies ... -2.174 eV/atom

The structure in POSCAR format:
```
Y2Se3
1.0
6.979 0.002 0.000
-2.269 6.600 0.000
-2.355 -3.301 12.083
Se Y
12 8
direct
0.587 0.589 0.663
0.755 0.755 0.000
0.495 0.995 0.500
0.926 0.923 0.337
0.324 0.827 0.163
0.411 0.413 0.337
0.839 0.337 0.163
0.005 0.505 0.500
0.663 0.161 0.837
0.173 0.676 0.837
0.077 0.074 0.663
0.245 0.245 0.000
0.503 0.003 0.005
0.997 0.497 0.995
0.334 0.834 0.668
0.253 0.253 0.505
0.166 0.666 0.332
0.747 0.747 0.495
0.084 0.084 0.168
0.916 0.916 0.832
```

***

A PBEsol-optimized structure of Y2Se. Source: Alexandria via LeMat-Bulk, functional SCAN.

Computed properties:
V ... 25.66 Å³ per atom
Symmetry ... C2/m (12)
Formation energy from raw total energies ... -1.220 eV/atom

The structure in POSCAR format:
```
Y2Se
1.0
3.704 0.000 0.000
0.000 6.534 -0.016
-1.852 -2.457 6.367
Y Se
4 2
direct
0.707 0.704 0.414
0.293 0.296 0.586
0.014 0.263 0.027
0.986 0.737 0.973
0.629 0.059 0.258
0.371 0.941 0.742
```

***

A PBEsol-optimized structure of Y2ZnSe. Source: Alexandria via LeMat-Bulk, functional SCAN.

Computed properties:
V ... 24.31 Å³ per atom
Symmetry ... Imm2 (44)
Formation energy from raw total energies ... -0.959 eV/atom
Relative energy among the computed polymorphs ... 239 meV per atom

The structure in POSCAR format:
```
Y2ZnSe
1.0
-2.415 2.361 -1.161
-2.727 -2.465 0.660
1.859 2.655 7.025
Y Se Zn
2 1 1
direct
0.294 0.794 0.588
0.047 0.047 0.094
0.705 0.205 0.410
0.454 0.454 0.908
```

***

A PBEsol-optimized structure of Y2ZnSe. Source: Alexandria via LeMat-Bulk, functional SCAN.

Computed properties:
V ... 23.60 Å³ per atom
Symmetry ... R-3m (166)
Formation energy from raw total energies ... -1.197 eV/atom
Relative energy among the computed polymorphs ... 0 meV per atom

The structure in POSCAR format:
```
Y2ZnSe
1.0
-1.660 2.306 2.681
0.621 -0.661 3.800
5.349 4.856 1.980
Se Y Zn
1 2 1
direct
0.500 0.500 0.500
0.753 0.753 0.741
0.247 0.247 0.259
0.000 0.000 0.000
```

***

A PBEsol-optimized structure of Y2ZnSe. Source: Alexandria via LeMat-Bulk, functional SCAN.

Computed properties:
V ... 23.61 Å³ per atom
Symmetry ... P4/mmm (123)
Formation energy from raw total energies ... -1.164 eV/atom
Relative energy among the computed polymorphs ... 33 meV per atom

The structure in POSCAR format:
```
Y2ZnSe
1.0
4.049 0.000 0.000
0.000 4.049 0.000
0.000 0.000 5.760
Se Y Zn
1 2 1
direct
0.500 0.500 0.500
0.000 0.000 0.500
0.500 0.500 0.000
0.000 0.000 0.000
```

***

A PBEsol-optimized structure of ZnSe2. Source: Alexandria via LeMat-Bulk, functional SCAN.

Computed properties:
V ... 20.07 Å³ per atom
Symmetry ... P6_3/mmc (194)
Formation energy from raw total energies ... -0.101 eV/atom

The structure in POSCAR format:
```
ZnSe2
1.0
-2.768 1.140 -2.252
-0.052 -3.463 1.426
-5.032 3.316 7.865
Zn Se
2 4
direct
0.000 0.000 0.250
0.000 0.000 0.750
0.333 0.667 0.894
0.667 0.333 0.106
0.333 0.667 0.606
0.667 0.333 0.394
```

***

A PBEsol-optimized structure of ZrZnSe. Source: Alexandria via LeMat-Bulk, functional SCAN.

Computed properties:
V ... 20.68 Å³ per atom
Symmetry ... F-43m (216)
Formation energy from raw total energies ... 0.176 eV/atom

The structure in POSCAR format:
```
ZrZnSe
1.0
-0.841 -3.804 2.137
2.280 -3.674 -1.023
2.972 -1.641 2.867
Se Zn Zr
1 1 1
direct
0.500 0.500 0.500
0.250 0.250 0.250
0.000 0.000 0.000
```

***

A PBEsol-optimized structure of ZrZn4Se. Source: Alexandria via LeMat-Bulk, functional SCAN.

Computed properties:
V ... 16.23 Å³ per atom
Symmetry ... F-43m (216)
Formation energy from raw total energies ... 0.016 eV/atom

The structure in POSCAR format:
```
ZrZn4Se
1.0
5.164 0.000 0.000
2.582 4.472 0.000
2.582 1.491 4.216
Zn Se Zr
4 1 1
direct
0.624 0.624 0.128
0.128 0.624 0.624
0.624 0.128 0.624
0.624 0.624 0.624
0.000 0.000 0.000
0.250 0.250 0.250
```

***

A PBEsol-optimized structure of ZrZnSe2. Source: Alexandria via LeMat-Bulk, functional SCAN.

Computed properties:
V ... 18.11 Å³ per atom
Symmetry ... Immm (71)
Formation energy from raw total energies ... -0.623 eV/atom

The structure in POSCAR format:
```
ZrZnSe2
1.0
3.748 0.000 0.000
1.874 4.595 0.017
1.874 1.831 4.214
Zn Se Zr
1 2 1
direct
0.000 0.500 0.500
0.717 0.283 0.283
0.283 0.717 0.717
0.500 0.000 0.000
```

***

A PBEsol-optimized structure of Zr4Se. Source: Alexandria via LeMat-Bulk, functional SCAN.

Computed properties:
V ... 22.53 Å³ per atom
Symmetry ... I4/mmm (139)
Formation energy from raw total energies ... 0.231 eV/atom

The structure in POSCAR format:
```
Zr4Se
1.0
3.680 0.000 0.000
0.000 3.680 0.000
-1.840 -1.840 8.318
Zr Se
4 1
direct
0.592 0.592 0.184
0.408 0.408 0.816
0.250 0.750 0.500
0.750 0.250 0.500
0.000 0.000 0.000
```

***

A PBEsol-optimized structure of ZrSe3. Source: Alexandria via LeMat-Bulk, functional SCAN.

Computed properties:
V ... 24.57 Å³ per atom
Symmetry ... P2/m (10)
Formation energy from raw total energies ... -0.963 eV/atom

The structure in POSCAR format:
```
ZrSe3
1.0
3.796 0.000 0.000
0.000 5.122 -0.045
0.000 -1.515 5.069
Zr Se
1 3
direct
0.500 0.000 0.500
0.500 0.500 0.500
0.000 0.828 0.115
0.000 0.172 0.885
```